Entry from the Alexandria database: an optimized crystal structure of Li4Sc3PaS8 (GGA-PBE).

Output
- crystal system = trigonal
- SG = R-3m (166)
- D(E_F) (states/eV/f.u.) = 8.91
- uncorrected formation energy (eV per atom) = -1.681

Lattice parameters (Å, degrees): 7.4815 7.5126 7.4810 119.87 120.00 90.00
Each line ends with the local moment (μB).
Fractional coordinates of all 16 atoms:
S: 0.7408 0.7490 0.9949  -0.01
S: 0.7465 0.7395 0.4930  0.00
S: 0.2541 0.7490 0.5082  -0.01
S: 0.7459 0.2510 0.0051  -0.01
S: 0.2535 0.2605 0.5070  0.00
S: 0.2592 0.2510 0.0051  -0.01
S: 0.2541 0.7490 0.9949  -0.01
S: 0.7459 0.2510 0.4918  -0.01
Li: 0.0000 0.0000 0.0000  0.00
Li: 0.5000 0.0000 0.0000  0.00
Li: 0.0000 0.0000 0.5000  0.00
Li: 0.5000 0.0000 0.5000  0.00
Sc: 0.5000 0.5000 0.0000  0.16
Sc: 0.0000 0.5000 0.5000  0.16
Sc: 0.5000 0.5000 0.5000  0.16
Pa: 0.0000 0.5000 0.0000  0.88